Version 1
Here is crystalline Ba2CrF6 at its relaxed geometry from the Alexandria database. Energies are from PBE with a Hubbard U.

POSCAR file:
```
Ba2CrF6
1.0
2.996 -8.159 0.000
2.996 8.159 0.000
0.000 0.000 6.088
F Ba Cr
12 4 2
Direct
0.622 0.378 0.500 F
0.002 0.502 0.750 F
0.804 0.804 0.349 F
0.696 0.696 0.849 F
0.998 0.498 0.250 F
0.498 0.998 0.250 F
0.878 0.122 0.000 F
0.502 0.002 0.750 F
0.122 0.878 0.000 F
0.304 0.304 0.151 F
0.196 0.196 0.651 F
0.378 0.622 0.500 F
0.654 0.346 0.000 Ba
0.154 0.846 0.500 Ba
0.846 0.154 0.500 Ba
0.346 0.654 0.000 Ba
0.500 0.500 0.500 Cr
0.000 0.000 0.000 Cr
```

Output
The density of states at the Fermi level is 0.00 states/eV/cell. The symmetry is No. 64. As for the spin magnetization: 0.444 μB/atom. The mass density is 4.92 g cm⁻³.

=====

Version 2
Here is crystalline Ba2CrF6 at its relaxed geometry from the Alexandria database. Energies are from PBE with a Hubbard U.

POSCAR file:
```
Ba2CrF6
1.0
5.571 0.000 0.000
0.000 5.571 0.000
0.000 0.000 11.787
Cr F Ba
2 12 4
Direct
0.000 0.000 0.000 Cr
0.500 0.500 0.500 Cr
0.760 0.240 0.500 F
0.676 0.676 0.351 F
0.324 0.324 0.351 F
0.240 0.760 0.500 F
0.260 0.260 0.000 F
0.676 0.676 0.649 F
0.176 0.824 0.851 F
0.824 0.176 0.851 F
0.324 0.324 0.649 F
0.824 0.176 0.149 F
0.176 0.824 0.149 F
0.740 0.740 0.000 F
0.000 0.000 0.336 Ba
0.500 0.500 0.836 Ba
0.000 0.000 0.664 Ba
0.500 0.500 0.164 Ba
```

Output
The density of states at the Fermi level is 0.00 states/eV/cell. The symmetry is No. 136. As for the spin magnetization: 0.444 μB/atom. The mass density is 4.00 g cm⁻³.

=====

Stability check: which of them is most stable? version 1.

=====

Version 1
Here is crystalline BaCrNF2 at its relaxed geometry from the Alexandria database. Energies are from PBE with a Hubbard U.

POSCAR file:
```
BaCrNF2
1.0
4.397 0.000 0.000
0.000 4.397 0.000
0.000 0.000 3.899
F Ba N Cr
2 1 1 1
Direct
0.500 0.000 0.000 F
0.000 0.500 0.000 F
0.500 0.500 0.500 Ba
0.000 0.000 0.500 N
0.000 0.000 0.000 Cr
```

Output
The density of states at the Fermi level is 0.16 states/eV/cell. The symmetry is No. 123. As for the spin magnetization: 0.600 μB/atom. The mass density is 5.31 g cm⁻³.

=====

Version 2
Here is crystalline BaCrNF2 at its relaxed geometry from the Alexandria database. Energies are from PBE with a Hubbard U.

POSCAR file:
```
BaCrNF2
1.0
4.930 0.000 0.000
0.000 4.930 0.000
0.000 0.000 5.550
Cr N F Ba
1 1 2 1
Direct
0.500 0.500 0.500 Cr
0.000 0.000 0.500 N
0.500 0.000 0.000 F
0.000 0.500 0.000 F
0.000 0.000 0.000 Ba
```

Output
The density of states at the Fermi level is 2.67 states/eV/cell. The symmetry is No. 123. As for the spin magnetization: 0.600 μB/atom. The mass density is 2.97 g cm⁻³.

=====

Stability check: which of them is most stable? version 1.

=====

Version 1
Here is crystalline BaCrN2F at its relaxed geometry from the Alexandria database. Energies are from PBE with a Hubbard U.

POSCAR file:
```
BaCrN2F
1.0
4.775 0.000 0.000
0.000 4.775 0.000
0.000 0.000 4.876
Cr F N Ba
1 1 2 1
Direct
0.500 0.500 0.500 Cr
0.000 0.000 0.500 F
0.000 0.500 0.000 N
0.500 0.000 0.000 N
0.000 0.000 0.000 Ba
```

Output
The density of states at the Fermi level is 2.50 states/eV/cell. The symmetry is No. 123. As for the spin magnetization: 0.605 μB/atom. The mass density is 3.53 g cm⁻³.

=====

Version 2
Here is crystalline BaCrN2F at its relaxed geometry from the Alexandria database. Energies are from PBE with a Hubbard U.

POSCAR file:
```
BaCrN2F
1.0
3.878 0.000 0.000
0.000 3.878 0.000
0.000 0.000 4.949
Ba F N Cr
1 1 2 1
Direct
0.500 0.500 0.500 Ba
0.000 0.000 0.500 F
0.500 0.000 0.000 N
0.000 0.500 0.000 N
0.000 0.000 0.000 Cr
```

Output
The density of states at the Fermi level is 0.82 states/eV/cell. The symmetry is No. 123. As for the spin magnetization: 0.209 μB/atom. The mass density is 5.27 g cm⁻³.

=====

Stability check: which of them is most stable? version 2.